# 1
Density functional theory data (PBE+U) for an optimized crystal structure of Li2VP4H16O20.

Cell lengths 7.171, 10.663, 11.913 Å; angles 90.00, 115.21, 90.00 degrees
Space group P2_1/c (No. 14)
Unique sites:
Li (0.206, 0.156, 0.448) [4 per cell]
V (0.500, 0.000, 0.000) [2 per cell]
P (0.039, 0.045, 0.777) [4 per cell]
P (0.320, 0.733, 0.087) [4 per cell]
H (0.098, 0.589, 0.427) [4 per cell]
H (0.105, 0.598, 0.950) [4 per cell]
H (0.139, 0.712, 0.717) [4 per cell]
H (0.248, 0.098, 0.104) [4 per cell]
H (0.324, 0.050, 0.686) [4 per cell]
H (0.462, 0.170, 0.157) [4 per cell]
H (0.476, 0.555, 0.104) [4 per cell]
H (0.498, 0.132, 0.680) [4 per cell]
O (0.010, 0.188, 0.803) [4 per cell]
O (0.025, 0.039, 0.134) [4 per cell]
O (0.106, 0.511, 0.857) [4 per cell]
O (0.111, 0.658, 0.023) [4 per cell]
O (0.268, 0.027, 0.811) [4 per cell]
O (0.310, 0.648, 0.515) [4 per cell]
O (0.352, 0.134, 0.079) [4 per cell]
O (0.354, 0.745, 0.722) [4 per cell]
O (0.387, 0.073, 0.627) [4 per cell]
O (0.500, 0.147, 0.416) [4 per cell]

Calculated values
The value obtained for the uncorrected energy is -507.232 eV for the cell shown. Its calculated density is 2.1 g cm⁻³. The calculation puts the density of states at the Fermi level at 0.0 states/eV/f.u.



# 2
Density functional theory data (PBE+U) for an optimized crystal structure of LiV2P2HO9.

Cell lengths 6.501, 6.698, 8.878 Å; angles 90.00, 109.12, 90.00 degrees
Space group P2_1/m (No. 11)
Unique sites:
Li (0.106, 0.250, 0.332) [2 per cell]
V (0.473, 0.250, 0.795) [2 per cell]
V (0.500, 0.000, 0.500) [2 per cell]
P (0.082, 0.750, 0.297) [2 per cell]
P (0.415, 0.250, 0.158) [2 per cell]
H (0.040, 0.750, 0.037) [2 per cell]
O (0.162, 0.250, 0.768) [2 per cell]
O (0.167, 0.250, 0.117) [2 per cell]
O (0.168, 0.750, 0.145) [2 per cell]
O (0.173, 0.559, 0.393) [4 per cell]
O (0.408, 0.250, 0.557) [2 per cell]
O (0.483, 0.750, 0.975) [2 per cell]
O (0.488, 0.559, 0.736) [4 per cell]

Calculated values
The value obtained for the uncorrected energy is -213.621 eV for the cell shown. Its calculated density is 2.9 g cm⁻³.



# 3
Density functional theory data (PBE+U) for an optimized crystal structure of LiVP2HO8.

Cell lengths 4.863, 8.010, 7.800 Å; angles 90.00, 111.87, 90.00 degrees
Space group Pc (No. 7)
Unique sites:
Li (0.000, 0.122, 0.000) [2 per cell]
V (0.052, 0.256, 0.638) [2 per cell]
P (0.411, 0.095, 0.377) [2 per cell]
P (0.680, 0.406, 0.903) [2 per cell]
H (0.567, 0.259, 0.129) [2 per cell]
O (0.252, 0.076, 0.834) [2 per cell]
O (0.262, 0.191, 0.497) [2 per cell]
O (0.354, 0.422, 0.773) [2 per cell]
O (0.362, 0.189, 0.199) [2 per cell]
O (0.730, 0.298, 0.077) [2 per cell]
O (0.743, 0.076, 0.503) [2 per cell]
O (0.816, 0.421, 0.460) [2 per cell]
O (0.852, 0.305, 0.803) [2 per cell]

Calculated values
The value obtained for the uncorrected energy is -179.810 eV for the cell shown. Its calculated density is 2.9 g cm⁻³.



# 4
Density functional theory data (PBE+U) for an optimized crystal structure of LiVP2HO8.

Cell lengths 4.875, 8.014, 7.479 Å; angles 90.00, 105.03, 90.00 degrees
Space group P2_1 (No. 4)
Unique sites:
Li (0.152, 0.000, 0.104) [2 per cell]
V (0.259, 0.624, 0.265) [2 per cell]
P (0.117, 0.971, 0.482) [2 per cell]
P (0.374, 0.283, 0.009) [2 per cell]
H (0.290, 0.637, 0.765) [2 per cell]
O (0.014, 0.565, 0.696) [2 per cell]
O (0.074, 0.458, 0.383) [2 per cell]
O (0.109, 0.180, 0.904) [2 per cell]
O (0.210, 0.796, 0.437) [2 per cell]
O (0.272, 0.453, 0.063) [2 per cell]
O (0.391, 0.067, 0.596) [2 per cell]
O (0.415, 0.803, 0.112) [2 per cell]
O (0.497, 0.176, 0.186) [2 per cell]

Calculated values
The value obtained for the uncorrected energy is -179.775 eV for the cell shown. Its calculated density is 2.9 g cm⁻³.



# 5
Density functional theory data (PBE+U) for an optimized crystal structure of LiVP2H2O8.

Cell lengths 10.122, 16.161, 8.716 Å; angles 90.00, 121.59, 90.00 degrees
Space group Cc (No. 9)
Unique sites:
Li (0.000, 0.187, 0.000) [4 per cell]
Li (0.019, 0.307, 0.517) [4 per cell]
V (0.405, 0.107, 0.295) [4 per cell]
V (0.428, 0.357, 0.820) [4 per cell]
P (0.078, 0.001, 0.167) [4 per cell]
P (0.106, 0.468, 0.623) [4 per cell]
P (0.249, 0.278, 0.043) [4 per cell]
P (0.306, 0.185, 0.583) [4 per cell]
H (0.173, 0.036, 0.951) [4 per cell]
H (0.263, 0.384, 0.220) [4 per cell]
H (0.304, 0.496, 0.385) [4 per cell]
H (0.336, 0.079, 0.752) [4 per cell]
O (0.011, 0.085, 0.178) [4 per cell]
O (0.051, 0.480, 0.956) [4 per cell]
O (0.078, 0.301, 0.916) [4 per cell]
O (0.109, 0.059, 0.825) [4 per cell]
O (0.130, 0.201, 0.499) [4 per cell]
O (0.205, 0.469, 0.284) [4 per cell]
O (0.213, 0.395, 0.642) [4 per cell]
O (0.231, 0.014, 0.169) [4 per cell]
O (0.252, 0.189, 0.111) [4 per cell]
O (0.324, 0.335, 0.222) [4 per cell]
O (0.334, 0.130, 0.461) [4 per cell]
O (0.350, 0.284, 0.959) [4 per cell]
O (0.374, 0.137, 0.770) [4 per cell]
O (0.397, 0.267, 0.634) [4 per cell]
O (0.459, 0.455, 0.993) [4 per cell]
O (0.470, 0.072, 0.124) [4 per cell]

Calculated values
For the relative energy among the computed polymorphs, the calculation gives 8 meV/atom. Its calculated density is 2.7 g cm⁻³. The calculation puts the density of states at the Fermi level at 0.0 states/eV/f.u.